Entry 1:
Ba2As2P PBE optimized geometry; E_tot = -22.6 eV/f.u.; formation enthalpy at 0 K = -0.8156 eV per atom; energy above the lowest structure with this stoichiometry = 0.0000 eV per atom; space-group type = C2/m, No. 12
1.0
6.122 -2.234 0.000
6.122 2.234 0.000
-4.322 0.000 11.073
Ba As P
4 4 2
direct
0.084 0.084 0.404
0.319 0.319 0.864
0.681 0.681 0.136
0.916 0.916 0.596
0.067 0.067 0.888
0.337 0.337 0.351
0.663 0.663 0.649
0.933 0.933 0.112
0.439 0.439 0.213
0.561 0.561 0.787

Entry 2:
BaAs2P PBE optimized geometry; E_tot = -16.9 eV/f.u.; formation enthalpy at 0 K = -0.0753 eV per atom; space-group type = P4/mmm, No. 123
1.0
4.528 0.000 0.000
0.000 4.528 0.000
0.000 0.000 4.697
Ba As P
1 2 1
direct
0.000 0.000 0.000
0.000 0.500 0.500
0.500 0.000 0.500
0.500 0.500 0.000